{
  "formula": "KCd3B",
  "functional": "GGA-PBE",
  "state": "optimized geometry",
  "cell": [[-6.500, -0.484, 0.600], [0.634, -0.470, 6.498], [-0.437, 6.511, 0.514]],
  "species": ["B", "K", "Cd", "Cd", "Cd"],
  "frac_coords": [[0.500, 0.500, 0.500], [0.000, 0.000, 0.000], [0.000, 0.000, 0.500], [0.000, 0.500, 0.000], [0.500, 0.000, 0.000]],
  "space_group": "Pm-3m"
}


{
  "formula": "KCdB2",
  "functional": "GGA-PBE",
  "state": "optimized geometry",
  "cell": [[4.318, 0.000, 0.000], [0.000, 4.318, 0.000], [2.159, 2.159, 8.235]],
  "species": ["B", "B", "K", "B", "B", "K", "Cd", "Cd"],
  "frac_coords": [[0.875, 0.125, 0.250], [0.875, 0.125, 0.750], [0.500, 0.500, 0.000], [0.875, 0.625, 0.250], [0.375, 0.125, 0.750], [0.250, 0.750, 0.500], [0.000, 0.000, 0.000], [0.750, 0.250, 0.500]],
  "space_group": "I4_1/amd"
}


{
  "formula": "K3CdB",
  "functional": "GGA-PBE",
  "state": "optimized geometry",
  "cell": [[-5.362, 1.034, 2.655], [0.026, -5.640, 2.248], [2.849, 1.997, 4.976]],
  "species": ["B", "K", "Cd", "K", "K"],
  "frac_coords": [[0.000, 0.000, 0.000], [0.000, 0.500, 0.000], [0.500, 0.500, 0.500], [0.500, 0.000, 0.000], [0.000, 0.000, 0.500]],
  "space_group": "Pm-3m"
}


{
  "formula": "K2CdB",
  "functional": "GGA-PBE",
  "state": "optimized geometry",
  "cell": [[-7.921, 7.336, 5.850], [-2.386, -8.979, 8.029], [-3.554, -0.109, 8.212]],
  "species": ["B", "Cd", "K", "K", "B", "K", "Cd", "K"],
  "frac_coords": [[0.500, 0.500, 0.000], [0.000, 0.000, 0.000], [0.428, 0.125, 0.250], [0.322, 0.625, 0.250], [0.250, 0.750, 0.500], [0.375, 0.572, 0.750], [0.750, 0.250, 0.500], [0.875, 0.678, 0.750]],
  "space_group": "I-42d"
}


{
  "formula": "KCdB3",
  "functional": "GGA-PBE",
  "state": "optimized geometry",
  "cell": [[4.924, 0.000, 0.000], [0.000, 4.924, 0.000], [0.000, 0.000, 4.924]],
  "species": ["B", "K", "B", "Cd", "B"],
  "frac_coords": [[0.000, 0.500, 0.000], [0.000, 0.000, 0.000], [0.500, 0.000, 0.000], [0.500, 0.500, 0.500], [0.000, 0.000, 0.500]],
  "space_group": "Pm-3m"
}


{
  "formula": "KCdB3",
  "functional": "GGA-PBE",
  "state": "optimized geometry",
  "cell": [[4.623, 0.000, 0.000], [0.000, 4.623, 0.000], [0.000, 0.000, 4.623]],
  "species": ["B", "Cd", "K", "B", "B"],
  "frac_coords": [[0.000, 0.500, 0.000], [0.000, 0.000, 0.000], [0.500, 0.500, 0.500], [0.000, 0.000, 0.500], [0.500, 0.000, 0.000]],
  "space_group": "Pm-3m"
}


{
  "formula": "KCd3B",
  "functional": "GGA-PBE",
  "state": "optimized geometry",
  "cell": [[-4.649, 1.538, -0.136], [-0.456, -0.957, 4.782], [1.475, 4.551, 1.051]],
  "species": ["Cd", "K", "Cd", "B", "Cd"],
  "frac_coords": [[0.000, 0.000, 0.500], [0.500, 0.500, 0.500], [0.500, 0.000, 0.000], [0.000, 0.000, 0.000], [0.000, 0.500, 0.000]],
  "space_group": "Pm-3m"
}


{
  "formula": "KCdB2Mo",
  "functional": "GGA-PBE",
  "state": "optimized geometry",
  "cell": [[4.427, 0.000, 0.000], [0.000, 5.119, 0.000], [0.000, 0.000, 4.427]],
  "species": ["B", "K", "B", "Mo", "Cd"],
  "frac_coords": [[0.500, 0.000, 0.000], [0.000, 0.000, 0.000], [0.000, 0.000, 0.500], [0.500, 0.500, 0.500], [0.000, 0.500, 0.000]],
  "space_group": "P4/mmm"
}


{
  "formula": "K2CdBN",
  "functional": "GGA-PBE",
  "state": "optimized geometry",
  "cell": [[6.074, 0.000, 0.000], [0.000, 4.266, 0.000], [0.000, 0.000, 6.074]],
  "species": ["B", "K", "Cd", "K", "N"],
  "frac_coords": [[0.000, 0.000, 0.000], [0.000, 0.000, 0.500], [0.000, 0.500, 0.000], [0.500, 0.000, 0.000], [0.500, 0.500, 0.500]],
  "formation_energy_uncorrected_kj_per_mol_atoms": 115.7,
  "space_group": "P4/mmm"
}


{
  "formula": "K2CdB2O6",
  "functional": "GGA-PBE",
  "state": "optimized geometry",
  "cell": [[-2.526, -1.640, -4.725], [3.517, -3.467, 2.645], [-4.994, -2.394, 3.500]],
  "species": ["B", "K", "O", "O", "K", "B", "O", "O", "O", "Cd", "O"],
  "frac_coords": [[0.667, 0.333, 0.202], [0.333, 0.667, 0.323], [0.192, 0.385, 0.789], [0.615, 0.807, 0.789], [0.667, 0.333, 0.677], [0.333, 0.667, 0.798], [0.385, 0.193, 0.211], [0.193, 0.808, 0.789], [0.807, 0.192, 0.211], [0.000, 0.000, 0.000], [0.808, 0.615, 0.211]],
  "formation_energy_uncorrected_kj_per_mol_atoms": -164.4,
  "space_group": "P-3m1"
}


{
  "formula": "KCdB2Pt",
  "functional": "GGA-PBE",
  "state": "optimized geometry",
  "cell": [[4.206, 0.000, 0.000], [0.000, 6.215, 0.000], [0.000, 0.000, 4.206]],
  "species": ["Cd", "B", "B", "K", "Pt"],
  "frac_coords": [[0.500, 0.500, 0.500], [0.500, 0.000, 0.000], [0.000, 0.000, 0.500], [0.000, 0.500, 0.000], [0.000, 0.000, 0.000]],
  "space_group": "P4/mmm"
}


{
  "formula": "K2CdReB",
  "functional": "GGA-PBE",
  "state": "optimized geometry",
  "cell": [[-0.743, -5.715, -3.254], [2.399, 1.342, -2.905], [5.243, -2.492, 3.179]],
  "species": ["B", "Re", "K", "K", "Cd"],
  "frac_coords": [[0.000, 0.500, 0.000], [0.000, 0.000, 0.000], [0.000, 0.000, 0.500], [0.500, 0.000, 0.000], [0.500, 0.500, 0.500]],
  "space_group": "P4/mmm"
}


{
  "formula": "KSrCd2B",
  "functional": "GGA-PBE",
  "state": "optimized geometry",
  "cell": [[-3.652, -2.032, -2.547], [2.912, -4.806, -0.341], [-2.051, -1.539, 4.168]],
  "species": ["Cd", "Cd", "Sr", "B", "K"],
  "frac_coords": [[0.500, 0.000, 0.000], [0.000, 0.000, 0.500], [0.000, 0.500, 0.000], [0.000, 0.000, 0.000], [0.500, 0.500, 0.500]],
  "space_group": "P4/mmm"
}


{
  "formula": "K2TiCdB",
  "functional": "GGA-PBE",
  "state": "optimized geometry",
  "cell": [[6.576, 0.000, 0.000], [0.000, 5.350, 0.000], [0.000, 0.000, 6.576]],
  "species": ["K", "K", "Ti", "Cd", "B"],
  "frac_coords": [[0.000, 0.000, 0.500], [0.500, 0.000, 0.000], [0.000, 0.000, 0.000], [0.000, 0.500, 0.000], [0.500, 0.500, 0.500]],
  "space_group": "P4/mmm"
}


{
  "formula": "KCd2BW",
  "functional": "GGA-PBE",
  "state": "optimized geometry",
  "cell": [[6.453, 0.000, 0.000], [0.000, 6.459, 0.000], [0.000, 0.000, 6.453]],
  "species": ["B", "Cd", "K", "W", "Cd"],
  "frac_coords": [[0.500, 0.500, 0.500], [0.000, 0.000, 0.500], [0.000, 0.000, 0.000], [0.000, 0.500, 0.000], [0.500, 0.000, 0.000]],
  "space_group": "P4/mmm"
}


{
  "formula": "KCdBW2",
  "functional": "GGA-PBE",
  "state": "optimized geometry",
  "cell": [[4.603, 0.000, 0.000], [0.000, 5.338, 0.000], [0.000, 0.000, 4.603]],
  "species": ["B", "W", "W", "K", "Cd"],
  "frac_coords": [[0.500, 0.500, 0.500], [0.500, 0.000, 0.000], [0.000, 0.000, 0.500], [0.000, 0.000, 0.000], [0.000, 0.500, 0.000]],
  "space_group": "P4/mmm"
}


{
  "formula": "KYCdB2",
  "functional": "GGA-PBE",
  "state": "optimized geometry",
  "cell": [[4.813, 0.000, 0.000], [0.000, 5.230, 0.000], [0.000, 0.000, 4.813]],
  "species": ["K", "B", "Cd", "Y", "B"],
  "frac_coords": [[0.000, 0.000, 0.000], [0.000, 0.000, 0.500], [0.000, 0.500, 0.000], [0.500, 0.500, 0.500], [0.500, 0.000, 0.000]],
  "space_group": "P4/mmm"
}


{
  "formula": "LaCd2B",
  "functional": "GGA-PBE",
  "state": "optimized geometry",
  "cell": [[5.098, 0.000, 0.000], [0.000, 5.098, 0.000], [2.549, 2.549, 7.779]],
  "species": ["La", "La", "Cd", "B", "Cd", "B", "Cd", "Cd"],
  "frac_coords": [[0.000, 0.000, 0.000], [0.750, 0.250, 0.500], [0.875, 0.681, 0.750], [0.500, 0.500, 0.000], [0.375, 0.569, 0.750], [0.250, 0.750, 0.500], [0.431, 0.125, 0.250], [0.319, 0.625, 0.250]],
  "space_group": "I-42d"
}


{
  "formula": "LaCdB12",
  "functional": "GGA-PBE",
  "state": "optimized geometry",
  "cell": [[5.115, 0.000, 2.953], [1.705, 4.822, 2.953], [0.000, 0.000, 5.906]],
  "species": ["B", "B", "B", "B", "B", "La", "Cd", "B", "B", "B", "B", "B", "B", "B"],
  "frac_coords": [[0.899, 0.601, 0.899], [0.899, 0.899, 0.601], [0.101, 0.399, 0.399], [0.601, 0.899, 0.601], [0.601, 0.899, 0.899], [0.500, 0.500, 0.500], [0.000, 0.000, 0.000], [0.101, 0.399, 0.101], [0.399, 0.101, 0.399], [0.601, 0.601, 0.899], [0.101, 0.101, 0.399], [0.399, 0.101, 0.101], [0.899, 0.601, 0.601], [0.399, 0.399, 0.101]],
  "space_group": "Fm-3m"
}


{
  "formula": "LaCdB3",
  "functional": "GGA-PBE",
  "state": "optimized geometry",
  "cell": [[4.794, 0.000, 0.000], [0.000, 4.794, 0.000], [0.000, 0.000, 4.794]],
  "species": ["B", "B", "La", "B", "Cd"],
  "frac_coords": [[0.000, 0.500, 0.000], [0.000, 0.000, 0.500], [0.000, 0.000, 0.000], [0.500, 0.000, 0.000], [0.500, 0.500, 0.500]],
  "space_group": "Pm-3m"
}


{
  "formula": "LaCdB3",
  "functional": "GGA-PBE",
  "state": "optimized geometry",
  "cell": [[-2.428, -1.802, -3.231], [2.818, -3.404, -0.219], [-2.396, -2.178, 3.015]],
  "species": ["Cd", "B", "B", "B", "La"],
  "frac_coords": [[0.000, 0.000, 0.000], [0.000, 0.000, 0.500], [0.000, 0.500, 0.000], [0.500, 0.000, 0.000], [0.500, 0.500, 0.500]],
  "space_group": "Pm-3m"
}


{
  "formula": "La3CdB",
  "functional": "GGA-PBE",
  "state": "optimized geometry",
  "cell": [[-2.722, 4.543, 0.690], [-4.577, -2.751, 0.056], [0.403, -0.562, 5.296]],
  "species": ["B", "Cd", "La", "La", "La"],
  "frac_coords": [[0.000, 0.000, 0.000], [0.500, 0.500, 0.500], [0.000, 0.500, 0.000], [0.000, 0.000, 0.500], [0.500, 0.000, 0.000]],
  "space_group": "Pm-3m"
}


{
  "formula": "La2CdB2",
  "functional": "GGA-PBE",
  "state": "optimized geometry",
  "cell": [[-2.597, -3.528, -5.955], [6.878, -2.026, -1.800], [-0.409, -3.265, 2.112]],
  "species": ["La", "Cd", "La", "B", "B", "La", "Cd", "La", "B", "B"],
  "frac_coords": [[0.688, 0.812, 0.500], [0.000, 0.000, 0.000], [0.812, 0.312, 0.500], [0.923, 0.577, 0.000], [0.423, 0.923, 0.000], [0.188, 0.688, 0.500], [0.500, 0.500, 0.000], [0.312, 0.188, 0.500], [0.077, 0.423, 0.000], [0.577, 0.077, 0.000]],
  "space_group": "P4/mbm"
}


{
  "formula": "LaMgCdB2",
  "functional": "GGA-PBE",
  "state": "optimized geometry",
  "cell": [[4.563, 0.000, 0.000], [0.000, 4.824, 0.000], [0.000, 0.000, 4.563]],
  "species": ["Mg", "B", "La", "Cd", "B"],
  "frac_coords": [[0.000, 0.500, 0.000], [0.500, 0.000, 0.000], [0.500, 0.500, 0.500], [0.000, 0.000, 0.000], [0.000, 0.000, 0.500]],
  "space_group": "P4/mmm"
}


{
  "formula": "La2NbCdB",
  "functional": "GGA-PBE",
  "state": "optimized geometry",
  "cell": [[-4.469, -0.901, 2.958], [2.497, -1.146, 3.423], [0.070, 5.168, 1.680]],
  "species": ["La", "La", "Nb", "B", "Cd"],
  "frac_coords": [[0.000, 0.000, 0.500], [0.500, 0.000, 0.000], [0.000, 0.500, 0.000], [0.000, 0.000, 0.000], [0.500, 0.500, 0.500]],
  "space_group": "P4/mmm"
}


{
  "formula": "La2CdNiB",
  "functional": "GGA-PBE",
  "state": "optimized geometry",
  "cell": [[5.521, 0.000, 0.000], [0.000, 5.521, 0.000], [0.000, 0.000, 3.864]],
  "species": ["La", "Ni", "La", "B", "Cd"],
  "frac_coords": [[0.500, 0.000, 0.000], [0.000, 0.000, 0.500], [0.000, 0.500, 0.000], [0.000, 0.000, 0.000], [0.500, 0.500, 0.500]],
  "space_group": "P4/mmm"
}


{
  "formula": "LaCd2B2O6",
  "functional": "GGA-PBE",
  "state": "optimized geometry",
  "cell": [[-0.730, 0.727, -5.151], [4.781, -1.165, 1.836], [-1.427, -7.116, -0.802]],
  "species": ["O", "O", "O", "B", "O", "La", "O", "Cd", "B", "Cd", "O"],
  "frac_coords": [[0.924, 0.321, 0.207], [0.679, 0.604, 0.207], [0.321, 0.396, 0.793], [0.667, 0.333, 0.209], [0.076, 0.679, 0.793], [0.000, 0.000, 0.000], [0.396, 0.076, 0.207], [0.333, 0.667, 0.345], [0.333, 0.667, 0.791], [0.667, 0.333, 0.655], [0.604, 0.924, 0.793]],
  "formation_energy_uncorrected_kj_per_mol_atoms": -204.4,
  "space_group": "P-3"
}


no.,uncorrected energy (eV per atom)
1,-0.54
2,-2.62
3,-1.43
4,-1.93
5,-1.28
6,-2.37
7,-1.65
8,-2.06
9,-2.42
10,-5.91
11,-3.62
12,-3.35
13,-1.86
14,-1.78
15,-1.63
16,-2.80
17,-2.35
18,-2.86
19,-6.29
20,-2.97
21,-3.79
22,-4.51
23,-4.91
24,-3.06
25,-5.43
26,-4.84
27,-6.65